Record 1
! La3PmY3 (GGA-PBE, optimized geometry); values from VASP
! **Energy above the lowest structure with this stoichiometry**: 0 meV/atom
! **SG**: No. 160
! **ΔH_f (0 K)**: 0.227 eV per atom
&SYSTEM
  ibrav = 0, nat = 7, ntyp = 3
/
ATOMIC_SPECIES
La 138.91 La.upf
Y 88.91 Y.upf
Pm 145.00 Pm.upf
CELL_PARAMETERS angstrom
-1.343 3.767 -6.023
-5.656 -1.359 3.305
4.010 3.409 4.130
ATOMIC_POSITIONS angstrom
La -0.967 1.257 4.059
Y -3.341 3.154 -4.635
Y -1.867 3.595 1.097
Y 0.148 4.875 -4.337
Pm -0.658 1.846 -2.951
La 1.122 3.206 -0.974
La -3.068 1.139 -1.332

Record 2
! Cr2PtPb (GGA-PBE, optimized geometry); values from VASP
! **SG**: No. 216
! **ΔH_f (0 K)**: 0.273 eV per atom
&SYSTEM
  ibrav = 0, nat = 4, ntyp = 3
/
ATOMIC_SPECIES
Pb 207.20 Pb.upf
Cr 52.00 Cr.upf
Pt 195.08 Pt.upf
CELL_PARAMETERS angstrom
4.621 0.000 0.000
2.311 4.002 0.000
2.311 1.334 3.773
ATOMIC_POSITIONS angstrom
Pb 4.621 2.668 1.887
Cr 0.000 0.000 0.000
Pt 6.932 4.002 2.830
Cr 2.311 1.334 0.943

Record 3
! TmUSn2 (GGA-PBE, optimized geometry); values from VASP
! **Energy above the lowest structure with this stoichiometry**: 384 meV/atom
! **SG**: No. 166
! **ΔH_f (0 K)**: 0.132 eV per atom
&SYSTEM
  ibrav = 0, nat = 4, ntyp = 3
/
ATOMIC_SPECIES
Tm 168.93 Tm.upf
Sn 118.71 Sn.upf
U 238.03 U.upf
CELL_PARAMETERS angstrom
3.249 0.000 0.000
1.625 2.814 0.000
1.625 0.938 11.762
ATOMIC_POSITIONS angstrom
Tm 0.000 0.000 0.000
Sn 4.874 2.814 3.109
U 3.249 1.876 5.881
Sn 1.625 0.938 8.653

Record 4
! Re2WSe (GGA-PBE, optimized geometry); values from VASP
! **Formation energy (no corrections)**: 0.55 eV/atom
! **SG**: No. 123
&SYSTEM
  ibrav = 0, nat = 4, ntyp = 3
/
ATOMIC_SPECIES
W 183.84 W.upf
Re 186.21 Re.upf
Se 78.96 Se.upf
CELL_PARAMETERS angstrom
4.497 0.000 0.000
0.000 4.497 0.000
0.000 0.000 3.081
ATOMIC_POSITIONS angstrom
W 0.000 2.248 1.540
Re 0.000 0.000 0.000
Re 2.248 2.248 0.000
Se 2.248 0.000 1.540

Record 5
! ZnSb2Ru2 (GGA-PBE, optimized geometry); values from VASP
! **Energy above the lowest structure with this stoichiometry**: 210 meV/atom
! **Formation energy (no corrections)**: 0.28 eV/atom
! **SG**: No. 139
&SYSTEM
  ibrav = 0, nat = 5, ntyp = 3
/
ATOMIC_SPECIES
Sb 121.76 Sb.upf
Ru 101.07 Ru.upf
Zn 65.41 Zn.upf
CELL_PARAMETERS angstrom
-1.118 -4.228 -1.054
3.903 -0.488 -2.184
3.674 -4.073 2.842
ATOMIC_POSITIONS angstrom
Sb 1.996 -2.811 -0.439
Sb 4.463 -5.978 0.044
Ru 1.974 -5.330 0.085
Zn 0.000 0.000 0.000
Ru 4.485 -3.459 -0.480

Number 1: total magnetic moment 0.00 μB per formula unit. Number 2: total magnetic moment 0.31 μB per formula unit. Number 3: total magnetic moment 2.21 μB per formula unit. Number 4: total magnetic moment 0.00 μB per formula unit. Number 5: total magnetic moment 0.00 μB per formula unit.